[1]
A plane-wave DFT calculation with GGA-PBE was carried out for an optimized crystal structure of NbNiTe2N.

- Energy above the lowest structure with this stoichiometry: 8 meV per atom

Cell: 5.273 5.273 3.429 Å, 90.00 90.00 90.00°
Space group P4/mmm (No. 123)
Asymmetric unit:
Nb (0.000, 0.000, 0.000) x1
Ni (0.500, 0.500, 0.500) x1
Te (0.000, 0.500, 0.500) x2
N (0.500, 0.500, 0.000) x1

***

[2]
A plane-wave DFT calculation with GGA-PBE was carried out for an optimized crystal structure of NdEuInPb.

- DFT formation energy: -472 meV per atom

Cell: 7.877 7.877 7.877 Å, 90.00 90.00 90.00°
Space group F-43m (No. 216)
Asymmetric unit:
Nd (0.000, 0.000, 0.000) x4
Eu (0.000, 0.000, 0.500) x4
In (0.250, 0.250, 0.750) x4
Pb (0.250, 0.250, 0.250) x4

***

[3]
A plane-wave DFT calculation with GGA-PBE was carried out for an optimized crystal structure of Nd6Dy3Ho2.

- Energy above the lowest structure with this stoichiometry: 0 meV per atom
- DFT formation energy: 74 meV per atom

Cell: 6.171 6.800 9.890 Å, 88.65 88.52 63.64°
Space group P-1 (No. 2)
Asymmetric unit:
Nd (0.212, 0.230, 0.454) x2
Nd (0.238, 0.856, 0.719) x2
Nd (0.274, 0.063, 0.106) x2
Dy (0.346, 0.677, 0.364) x2
Dy (0.500, 0.500, 0.000) x1
Ho (0.102, 0.393, 0.814) x2

***

[4]
A plane-wave DFT calculation with GGA-PBE was carried out for an optimized crystal structure of NbTlSn2.

- Energy above the lowest structure with this stoichiometry: 369 meV per atom
- DFT formation energy: 459 meV per atom

Cell: 4.313 4.313 21.287 Å, 90.00 90.00 90.00°
Space group I-42d (No. 122)
Asymmetric unit:
Nb (0.000, 0.000, 0.000) x4
Tl (0.000, 0.000, 0.500) x4
Sn (0.236, 0.250, 0.125) x8

***

[5]
A plane-wave DFT calculation with GGA-PBE was carried out for an optimized crystal structure of TaAlAu2.

- DFT formation energy: 239 meV per atom

Cell: 3.944 3.944 19.296 Å, 90.00 90.00 90.00°
Space group I-42d (No. 122)
Asymmetric unit:
Ta (0.000, 0.000, 0.000) x4
Al (0.000, 0.000, 0.500) x4
Au (0.244, 0.250, 0.625) x8

***

[6]
A plane-wave DFT calculation with GGA-PBE was carried out for an optimized crystal structure of KCu4Cl12.

Cell: 9.138 9.138 9.138 Å, 90.00 90.00 90.00°
Space group Im-3 (No. 204)
Asymmetric unit:
K (0.000, 0.000, 0.000) x2
Cu (0.250, 0.250, 0.250) x8
Cl (0.000, 0.297, 0.198) x24

***

[7]
A plane-wave DFT calculation with GGA-PBE was carried out for an optimized crystal structure of TlPb3Br.

- Energy above the lowest structure with this stoichiometry: 52 meV per atom

Cell: 5.970 5.970 5.970 Å, 90.00 90.00 90.00°
Space group Pm-3m (No. 221)
Asymmetric unit:
Tl (0.000, 0.000, 0.000) x1
Pb (0.000, 0.000, 0.500) x3
Br (0.500, 0.500, 0.500) x1

***

[8]
A plane-wave DFT calculation with GGA-PBE was carried out for an optimized crystal structure of BeSiGe2Te.

Cell: 5.091 5.091 4.173 Å, 90.00 90.00 90.00°
Space group P4/mmm (No. 123)
Asymmetric unit:
Be (0.000, 0.000, 0.000) x1
Si (0.000, 0.000, 0.500) x1
Ge (0.000, 0.500, 0.500) x2
Te (0.500, 0.500, 0.000) x1

***

[9]
A plane-wave DFT calculation with GGA-PBE was carried out for an optimized crystal structure of UCl5.

- Energy above the lowest structure with this stoichiometry: 250 meV per atom

Cell: 9.670 4.104 8.312 Å, 90.00 90.00 90.00°
Space group Pmma (No. 51)
Asymmetric unit:
U (0.250, 0.000, 0.180) x2
Cl (0.000, 0.000, 0.000) x2
Cl (0.079, 0.500, 0.278) x4
Cl (0.250, 0.000, 0.485) x2
Cl (0.250, 0.500, 0.952) x2

***

[10]
A plane-wave DFT calculation with GGA-PBE was carried out for an optimized crystal structure of Tb6Pr3In.

- DFT formation energy: 4 meV per atom

Cell: 13.830 3.618 14.477 Å, 90.00 115.38 90.00°
Space group P2_1/m (No. 11)
Asymmetric unit:
Tb (0.019, 0.250, 0.226) x2
Tb (0.199, 0.250, 0.488) x2
Tb (0.239, 0.250, 0.914) x2
Tb (0.242, 0.750, 0.706) x2
Tb (0.281, 0.750, 0.331) x2
Tb (0.345, 0.250, 0.169) x2
Pr (0.118, 0.750, 0.055) x2
Pr (0.452, 0.750, 0.601) x2
Pr (0.480, 0.250, 0.883) x2
In (0.026, 0.250, 0.602) x2

***

[11]
A plane-wave DFT calculation with GGA-PBE was carried out for an optimized crystal structure of Tb4CdHg2Au.

- DFT formation energy: -540 meV per atom

Cell: 5.2470 5.2470 25.6481 Å, 90.00 90.00 120.00°
Space group R-3m (No. 166, hexagonal axes)
Asymmetric unit:
Tb (0.0000, 0.0000, 0.1196) x6
Tb (0.0000, 0.0000, 0.3709) x6
Cd (0.0000, 0.0000, 0.5000) x3
Hg (0.0000, 0.0000, 0.2429) x6
Au (0.0000, 0.0000, 0.0000) x3

***

[12]
A plane-wave DFT calculation with GGA-PBE was carried out for an optimized crystal structure of Tl4AsCl2.

Cell: 5.700 5.700 16.759 Å, 90.00 90.00 90.00°
Space group I4/mmm (No. 139)
Asymmetric unit:
Tl (0.000, 0.000, 0.182) x4
Tl (0.000, 0.500, 0.000) x4
As (0.000, 0.000, 0.000) x2
Cl (0.000, 0.000, 0.379) x4

***

[13]
A plane-wave DFT calculation with GGA-PBE was carried out for an optimized crystal structure of Er2HfNpP4.

- DFT formation energy: -1344 meV per atom

Cell: 6.719 3.886 6.739 Å, 90.00 109.23 90.00°
Space group P2/m (No. 10)
Asymmetric unit:
Er (0.000, 0.000, 0.000) x1
Er (0.500, 0.500, 0.000) x1
Hf (0.000, 0.500, 0.500) x1
Np (0.500, 0.000, 0.500) x1
P (0.239, 0.000, 0.737) x2
P (0.245, 0.500, 0.258) x2

***

[14]
A plane-wave DFT calculation with GGA-PBE was carried out for an optimized crystal structure of AlCI2N.

- Energy above the lowest structure with this stoichiometry: 506 meV per atom

Cell: 5.684 5.684 3.557 Å, 90.00 90.00 90.00°
Space group P4/mmm (No. 123)
Asymmetric unit:
Al (0.000, 0.000, 0.000) x1
C (0.500, 0.500, 0.500) x1
I (0.000, 0.500, 0.000) x2
N (0.000, 0.000, 0.500) x1

***

[15]
A plane-wave DFT calculation with GGA-PBE was carried out for an optimized crystal structure of LaIrBr2.

- Energy above the lowest structure with this stoichiometry: 0 meV per atom

Cell: 3.964 4.096 7.615 Å, 90.00 104.84 90.00°
Space group Pm (No. 6)
Asymmetric unit:
La (0.000, 0.000, 0.000) x1
Ir (0.450, 0.500, 0.898) x1
Br (0.332, 0.000, 0.655) x1
Br (0.616, 0.500, 0.240) x1

***

[16]
A plane-wave DFT calculation with GGA-PBE was carried out for an optimized crystal structure of EuYTmAl.

- DFT formation energy: -21 meV per atom

Cell: 7.615 7.615 7.615 Å, 90.00 90.00 90.00°
Space group F-43m (No. 216)
Asymmetric unit:
Eu (0.000, 0.000, 0.000) x4
Y (0.250, 0.250, 0.750) x4
Tm (0.250, 0.250, 0.250) x4
Al (0.000, 0.000, 0.500) x4

***

[17]
A plane-wave DFT calculation with GGA-PBE was carried out for an optimized crystal structure of NaCoSeBr2.

- Energy above the lowest structure with this stoichiometry: 1008 meV per atom

Cell: 5.266 5.266 5.405 Å, 90.00 90.00 90.00°
Space group P4/mmm (No. 123)
Asymmetric unit:
Na (0.000, 0.000, 0.000) x1
Co (0.500, 0.500, 0.500) x1
Se (0.000, 0.000, 0.500) x1
Br (0.000, 0.500, 0.000) x2

***

[18]
A plane-wave DFT calculation with GGA-PBE was carried out for an optimized crystal structure of Na2InSe.

- Energy above the lowest structure with this stoichiometry: 88 meV per atom

Cell: 4.870 4.870 19.717 Å, 90.00 90.00 90.00°
Space group I-42d (No. 122)
Asymmetric unit:
Na (0.207, 0.250, 0.125) x8
In (0.000, 0.000, 0.500) x4
Se (0.000, 0.000, 0.000) x4

***

[19]
A plane-wave DFT calculation with GGA-PBE was carried out for an optimized crystal structure of ScHg2Mo.

- Energy above the lowest structure with this stoichiometry: 13 meV per atom
- DFT formation energy: 135 meV per atom

Cell: 5.967 8.421 3.071 Å, 90.00 90.00 90.00°
Space group Cmmm (No. 65)
Asymmetric unit:
Sc (0.000, 0.000, 0.000) x2
Hg (0.250, 0.250, 0.500) x4
Mo (0.000, 0.500, 0.000) x2

***

[20]
A plane-wave DFT calculation with GGA-PBE was carried out for an optimized crystal structure of Er2Tl3InTe6.

Cell: 7.679 13.292 8.508 Å, 90.00 107.52 90.00°
Space group C2/m (No. 12)
Asymmetric unit:
Er (0.000, 0.166, 0.000) x4
Tl (0.000, 0.000, 0.500) x2
Tl (0.000, 0.329, 0.500) x4
In (0.000, 0.500, 0.000) x2
Te (0.234, 0.335, 0.209) x8
Te (0.240, 0.000, 0.214) x4

***

[21]
A plane-wave DFT calculation with GGA-PBE was carried out for an optimized crystal structure of Tb3SmEr.

- Energy above the lowest structure with this stoichiometry: 0 meV per atom
- DFT formation energy: 15 meV per atom

Cell: 6.299 5.675 9.611 Å, 90.00 109.10 90.00°
Space group P2_1/m (No. 11)
Asymmetric unit:
Tb (0.134, 0.250, 0.099) x2
Tb (0.268, 0.750, 0.702) x2
Tb (0.335, 0.250, 0.501) x2
Sm (0.067, 0.750, 0.300) x2
Er (0.467, 0.750, 0.099) x2

***

[22]
A plane-wave DFT calculation with GGA-PBE was carried out for an optimized crystal structure of AcCuAu.

- Energy above the lowest structure with this stoichiometry: 228 meV per atom
- DFT formation energy: -344 meV per atom

Cell: 6.835 6.835 6.835 Å, 90.00 90.00 90.00°
Space group F-43m (No. 216)
Asymmetric unit:
Ac (0.000, 0.000, 0.000) x4
Cu (0.250, 0.250, 0.250) x4
Au (0.000, 0.000, 0.500) x4

***

[23]
A plane-wave DFT calculation with GGA-PBE was carried out for an optimized crystal structure of KAg2Rh.

- Energy above the lowest structure with this stoichiometry: 69 meV per atom
- DFT formation energy: 398 meV per atom

Cell: 2.845 4.188 7.515 Å, 90.00 90.00 90.00°
Space group Pmm2 (No. 25)
Asymmetric unit:
K (0.000, 0.000, 0.000) x1
Ag (0.000, 0.000, 0.467) x1
Ag (0.500, 0.500, 0.668) x1
Rh (0.500, 0.500, 0.300) x1

***

[24]
A plane-wave DFT calculation with GGA-PBE was carried out for an optimized crystal structure of Sc2Cd2Hg7.

- DFT formation energy: -103 meV per atom

Cell: 3.403 18.236 8.591 Å, 90.00 90.00 90.00°
Space group Imm2 (No. 44)
Asymmetric unit:
Sc (0.000, 0.247, 0.000) x4
Cd (0.000, 0.000, 0.747) x2
Cd (0.000, 0.500, 0.888) x2
Hg (0.000, 0.000, 0.085) x2
Hg (0.000, 0.122, 0.511) x4
Hg (0.000, 0.345, 0.705) x4
Hg (0.000, 0.355, 0.320) x4

***

[25]
A plane-wave DFT calculation with GGA-PBE was carried out for an optimized crystal structure of PmHoZnPb.

- DFT formation energy: -377 meV per atom

Cell: 7.487 7.487 7.487 Å, 90.00 90.00 90.00°
Space group F-43m (No. 216)
Asymmetric unit:
Pm (0.000, 0.000, 0.000) x4
Ho (0.000, 0.000, 0.500) x4
Zn (0.250, 0.250, 0.750) x4
Pb (0.250, 0.250, 0.250) x4

***

Values of electronic total energy, in order: -5.538 -5.844 -4.614 -4.652 -5.299 -2.792 -2.654 -3.819 -4.789 -4.482 -3.454 -2.871 -8.051 -3.357 -5.144 -6.259 -2.449 -2.546 -4.307 -3.920 -4.620 -4.171 -3.140 -1.613 -3.955, all in eV/atom.